1.
# PBE Y3Zn2Ge4, relaxed
# ΔE_f ... -0.6146 eV/atom
# Space-group type ... C2/m, No. 12
data_Y3Zn2Ge4
_chemical_formula_sum 'Y3 Zn2 Ge4'
_cell_length_a 5.980
_cell_length_b 5.980
_cell_length_c 8.600
_cell_angle_alpha 110.32
_cell_angle_beta 110.32
_cell_angle_gamma 40.52
_space_group_name_H-M_alt 'P 1'
_space_group_IT_number 1
_space_group_name_Hall 'P 1'
loop_
_atom_site_label
_atom_site_type_symbol
_atom_site_fract_x
_atom_site_fract_y
_atom_site_fract_z
_atom_site_occupancy
Y1 Y 0.000 0.000 0.000 1
Y2 Y 0.378 0.378 0.307 1
Y3 Y 0.622 0.622 0.693 1
Zn1 Zn 0.316 0.316 0.656 1
Zn2 Zn 0.684 0.684 0.344 1
Ge1 Ge 0.084 0.084 0.400 1
Ge2 Ge 0.288 0.288 0.936 1
Ge3 Ge 0.712 0.712 0.064 1
Ge4 Ge 0.916 0.916 0.600 1

---

2.
# PBE Y3ZrGe, relaxed
# ΔE_f ... 0.1673 eV/atom
# Energy relative to the lowest polymorph listed for this composition ... 0.000 eV per atom
# Space-group type ... Pm-3m, No. 221
data_Y3ZrGe
_chemical_formula_sum 'Y3 Zr1 Ge1'
_cell_length_a 5.448
_cell_length_b 5.448
_cell_length_c 5.448
_cell_angle_alpha 90.00
_cell_angle_beta 90.00
_cell_angle_gamma 90.00
_space_group_name_H-M_alt 'P 1'
_space_group_IT_number 1
_space_group_name_Hall 'P 1'
loop_
_atom_site_label
_atom_site_type_symbol
_atom_site_fract_x
_atom_site_fract_y
_atom_site_fract_z
_atom_site_occupancy
Y1 Y 0.000 0.000 0.500 1
Y2 Y 0.000 0.500 0.000 1
Y3 Y 0.500 0.000 0.000 1
Zr1 Zr 0.500 0.500 0.500 1
Ge1 Ge 0.000 0.000 0.000 1

---

no.,magnetic moment (μB per formula unit),E_tot (eV per cell),mass density (g cm⁻³)
1,0.0,-45.94,6.15
2,4.0,-31.72,4.42